No. 1
VASP calculation (GGA-PBE) on a relaxed structure of Zn3B7IO13.

Lattice parameters (Å, degrees): 8.6983 8.6921 12.3006 90.00 90.00 90.00
Closest atoms and distances in Å follow each position.
Sites, in units of the cell vectors:
Zn  0.0090  0.0274  0.0000  4 O 2.09-2.15
Zn  0.0096  0.4730  0.0035  4 O 2.06-2.14
Zn  0.2398  0.2512  0.2762  4 O 2.04-2.14
Zn  0.2602  0.2512  0.7762  4 O 2.04-2.14
Zn  0.4904  0.4730  0.5035  4 O 2.06-2.14
Zn  0.4910  0.0274  0.5000  4 O 2.09-2.15
Zn  0.5090  0.9726  0.0000  4 O 2.09-2.15
Zn  0.5096  0.5270  0.0035  4 O 2.06-2.14
Zn  0.7398  0.7488  0.2762  4 O 2.04-2.14
Zn  0.7602  0.7488  0.7762  4 O 2.04-2.14
Zn  0.9904  0.5270  0.5035  4 O 2.06-2.14
Zn  0.9910  0.9726  0.5000  4 O 2.09-2.15
B  0.0000  0.0024  0.7539  4 O 1.47-1.50
B  0.0004  0.4964  0.7549  4 O 1.47-1.51
B  0.9996  0.5036  0.2549  4 O 1.47-1.51
B  0.0000  0.9976  0.2539  4 O 1.47-1.50
B  0.0452  0.7508  0.1542  3 O 1.38-1.39
B  0.0934  0.7500  0.6820  4 O 1.46-1.57
B  0.2427  0.7534  0.0075  4 O 1.47-1.51
B  0.2444  0.9033  0.8341  4 O 1.45-1.58
B  0.2449  0.5980  0.8348  4 O 1.46-1.57
B  0.2551  0.5980  0.3348  4 O 1.46-1.57
B  0.2556  0.9033  0.3341  4 O 1.45-1.58
B  0.2573  0.7534  0.5075  4 O 1.47-1.51
B  0.4066  0.7500  0.1820  4 O 1.46-1.57
B  0.4548  0.7508  0.6542  3 O 1.38-1.39
B  0.5000  0.0024  0.2539  4 O 1.47-1.50
B  0.4996  0.4964  0.2549  4 O 1.47-1.51
B  0.5004  0.5036  0.7549  4 O 1.47-1.51
B  0.5000  0.9976  0.7539  4 O 1.47-1.50
B  0.5452  0.2492  0.1542  3 O 1.38-1.39
B  0.5934  0.2500  0.6820  4 O 1.46-1.57
B  0.7427  0.2466  0.0075  4 O 1.47-1.51
B  0.7444  0.0967  0.8341  4 O 1.45-1.58
B  0.7449  0.4020  0.8348  4 O 1.46-1.57
B  0.7551  0.4020  0.3348  4 O 1.46-1.57
B  0.7556  0.0967  0.3341  4 O 1.45-1.58
B  0.7573  0.2466  0.5075  4 O 1.47-1.51
B  0.9066  0.2500  0.1820  4 O 1.46-1.57
B  0.9548  0.2492  0.6542  3 O 1.38-1.39
I  0.2407  0.2501  0.9992  3 Zn 2.75-2.79
I  0.2593  0.2501  0.4992  3 Zn 2.75-2.79
I  0.7407  0.7499  0.9992  3 Zn 2.75-2.79
I  0.7593  0.7499  0.4992  3 Zn 2.75-2.79
O  0.0332  0.1614  0.2313  2 B 1.47-1.48
O  0.0379  0.9095  0.1521  2 B 1.38-1.50
O  0.0404  0.3310  0.7295  2 B 1.39-1.51
O  0.0481  0.5913  0.6615  2 B 1.46-1.47
O  0.0877  0.5406  0.8524  2 B 1.47
O  0.0924  0.9431  0.3473  2 B 1.47-1.48
O  0.1178  0.6731  0.0705  2 B 1.38-1.51
O  0.1423  0.8234  0.5804  2 B 1.47-1.48
O  0.1641  0.0245  0.7764  2 B 1.45-1.47
O  0.1650  0.4846  0.2746  2 B 1.46-1.47
O  0.1727  0.8740  0.9400  2 B 1.47
O  0.1815  0.6372  0.4381  2 B 1.46-1.48
O  0.2287  0.7499  0.7664  3 B 1.57-1.58
O  0.2713  0.7499  0.2664  3 B 1.57-1.58
O  0.3185  0.6372  0.9381  2 B 1.46-1.48
O  0.3273  0.8740  0.4400  2 B 1.47
O  0.3350  0.4846  0.7746  2 B 1.46-1.47
O  0.3359  0.0245  0.2764  2 B 1.45-1.47
O  0.3577  0.8234  0.0804  2 B 1.47-1.48
O  0.3822  0.6731  0.5705  2 B 1.38-1.51
O  0.4076  0.9431  0.8473  2 B 1.47-1.48
O  0.4123  0.5406  0.3524  2 B 1.47
O  0.4519  0.5913  0.1615  2 B 1.46-1.47
O  0.4596  0.3310  0.2295  2 B 1.39-1.51
O  0.4621  0.9095  0.6521  2 B 1.38-1.50
O  0.4668  0.1614  0.7313  2 B 1.47-1.48
O  0.5332  0.8386  0.2313  2 B 1.47-1.48
O  0.5379  0.0905  0.1521  2 B 1.38-1.50
O  0.5404  0.6690  0.7295  2 B 1.39-1.51
O  0.5481  0.4087  0.6615  2 B 1.46-1.47
O  0.5877  0.4594  0.8524  2 B 1.47
O  0.5924  0.0569  0.3473  2 B 1.47-1.48
O  0.6178  0.3269  0.0705  2 B 1.38-1.51
O  0.6423  0.1766  0.5804  2 B 1.47-1.48
O  0.6641  0.9755  0.7764  2 B 1.45-1.47
O  0.6650  0.5154  0.2746  2 B 1.46-1.47
O  0.6727  0.1260  0.9400  2 B 1.47
O  0.6815  0.3628  0.4381  2 B 1.46-1.48
O  0.7287  0.2501  0.7664  3 B 1.57-1.58
O  0.7713  0.2501  0.2664  3 B 1.57-1.58
O  0.8185  0.3628  0.9381  2 B 1.46-1.48
O  0.8273  0.1260  0.4400  2 B 1.47
O  0.8350  0.5154  0.7746  2 B 1.46-1.47
O  0.8359  0.9755  0.2764  2 B 1.45-1.47
O  0.8577  0.1766  0.0804  2 B 1.47-1.48
O  0.8822  0.3269  0.5705  2 B 1.38-1.51
O  0.9076  0.0569  0.8473  2 B 1.47-1.48
O  0.9123  0.4594  0.3524  2 B 1.47
O  0.9519  0.4087  0.1615  2 B 1.46-1.47
O  0.9596  0.6690  0.2295  2 B 1.39-1.51
O  0.9621  0.0905  0.6521  2 B 1.38-1.50
O  0.9668  0.8386  0.7313  2 B 1.47-1.48

Summary:
Excess energy over the best structure of this formula in the dataset   0 meV/atom
Space group   Pca2_1, No. 29


No. 2
VASP calculation (GGA-PBE) on a relaxed structure of La2Tb4PmTh.

Lattice parameters (Å, degrees): 5.1682 5.1682 10.0362 90.00 90.00 90.00
Closest atoms and distances in Å follow each position.
Sites, in units of the cell vectors:
La  0.0000  0.0000  0.0000  8 Tb 3.56, 4 Th 3.65
La  0.5000  0.5000  0.5000  8 Tb 3.64, 4 Pm 3.65
Tb  0.0000  0.5000  0.2440  2 Th 3.56, 4 La 3.56-3.64, 2 Pm 3.64, 4 Tb 3.65
Tb  0.0000  0.5000  0.7560  2 Th 3.56, 4 La 3.56-3.64, 2 Pm 3.64, 4 Tb 3.65
Tb  0.5000  0.0000  0.2440  2 Th 3.56, 4 La 3.56-3.64, 2 Pm 3.64, 4 Tb 3.65
Tb  0.5000  0.0000  0.7560  2 Th 3.56, 4 La 3.56-3.64, 2 Pm 3.64, 4 Tb 3.65
Pm  0.0000  0.0000  0.5000  8 Tb 3.64, 4 La 3.65
Th  0.5000  0.5000  0.0000  8 Tb 3.56, 4 La 3.65

Summary:
Formation energy from the elements   0.03 eV per atom
Space group   P4/mmm, No. 123


No. 3
VASP calculation (GGA-PBE) on a relaxed structure of Fe2Ir4Ru.

Lattice parameters (Å, degrees): 5.4925 5.4925 8.6059 90.00 90.00 124.57
Closest atoms and distances in Å follow each position.
Sites, in units of the cell vectors:
Fe  0.0141  0.2156  0.0000  1 Fe 2.28, 3 Ir 2.47-2.55
Fe  0.2156  0.0141  0.5000  1 Fe 2.28, 3 Ir 2.47-2.55
Fe  0.7844  0.9859  0.5000  1 Fe 2.28, 3 Ir 2.47-2.55
Fe  0.9859  0.7844  0.0000  1 Fe 2.28, 3 Ir 2.47-2.55
Ir  0.0000  0.5000  0.2173  2 Fe 2.47, 4 Ir 2.62-2.76, 2 Ru 2.76
Ir  0.0000  0.5000  0.7827  2 Fe 2.47, 4 Ir 2.62-2.76, 2 Ru 2.76
Ir  0.2528  0.5308  0.5000  4 Fe 2.55-2.78, 5 Ir 2.60-2.83, 2 Ru 2.60
Ir  0.4692  0.7472  0.0000  4 Fe 2.55-2.78, 5 Ir 2.60-2.83, 2 Ru 2.60
Ir  0.5000  0.0000  0.2827  2 Fe 2.47, 4 Ir 2.62-2.76, 2 Ru 2.76
Ir  0.5000  0.0000  0.7173  2 Fe 2.47, 4 Ir 2.62-2.76, 2 Ru 2.76
Ir  0.5308  0.2528  0.0000  4 Fe 2.55-2.78, 5 Ir 2.60-2.83, 2 Ru 2.60
Ir  0.7472  0.4692  0.5000  4 Fe 2.55-2.78, 5 Ir 2.60-2.83, 2 Ru 2.60
Ru  0.5000  0.5000  0.2500  8 Ir 2.60-2.76
Ru  0.5000  0.5000  0.7500  8 Ir 2.60-2.76

Summary:
Formation energy from the elements   0.34 eV per atom
Space group   Cccm, No. 66


No. 4
VASP calculation (GGA-PBE) on a relaxed structure of Hf2VCu.

Lattice parameters (Å, degrees): 3.2245 3.2245 6.7426 90.00 90.00 90.00
Closest atoms and distances in Å follow each position.
Sites, in units of the cell vectors:
Hf  0.0000  0.0000  0.2461  4 V 2.82, 4 Cu 2.85
Hf  0.0000  0.0000  0.7539  4 V 2.82, 4 Cu 2.85
V  0.5000  0.5000  0.0000  8 Hf 2.82
Cu  0.5000  0.5000  0.5000  8 Hf 2.85

Summary:
Formation energy from the elements   -0.01 eV per atom
Excess energy over the best structure of this formula in the dataset   0 meV/atom
Space group   P4/mmm, No. 123


No. 5
VASP calculation (GGA-PBE) on a relaxed structure of KTa2Ru.

Lattice parameters (Å, degrees): 3.0325 4.1178 8.0475 90.00 90.80 90.00
Closest atoms and distances in Å follow each position.
Sites, in units of the cell vectors:
K  0.0000  0.0000  0.0000  2 K 3.03
Ta  0.4946  0.5000  0.6308  1 Ru 2.34
Ta  0.9879  0.0000  0.4606  4 Ru 2.73-2.74, 6 Ta 2.90-3.03
Ru  0.4846  0.5000  0.3405  1 Ta 2.34

Summary:
Formation energy from the elements   0.56 eV per atom
Excess energy over the best structure of this formula in the dataset   77 meV/atom
Space group   Pm, No. 6


Number 1: total moment 0.00 μB/cell. Number 2: total moment 0.00 μB/cell. Number 3: total moment 12.61 μB/cell. Number 4: total moment 1.07 μB/cell. Number 5: total moment 0.00 μB/cell.